1.
The following is a DFT calculation (PBE) of crystalline Ba2ScTl at its relaxed geometry.

```
Ba2ScTl
1.0
4.0025 0.0000 0.0000
0.0000 4.0025 0.0000
0.0000 0.0000 10.1159
Ba Sc Tl
2 1 1
Direct
0.0000 0.0000 0.0000 Ba
0.5000 0.5000 0.3725 Ba
0.0000 0.0000 0.6355 Sc
0.5000 0.5000 0.7555 Tl
```

D(E_F) (states/eV per cell): 4.95
Calculated density (Mg/m³): 5.4
VASP energy (eV per atom): -3.19
E_form (eV per atom): -0.051


2.
The following is a DFT calculation (PBE) of crystalline ScTeAs3 at its relaxed geometry.

```
ScTeAs3
1.0
5.2146 0.0000 0.0000
0.0000 5.2146 0.0000
0.0000 0.0000 5.2146
Sc Te As
1 1 3
Direct
0.0000 0.0000 0.0000 Sc
0.5000 0.5000 0.5000 Te
0.0000 0.5000 0.5000 As
0.5000 0.0000 0.5000 As
0.5000 0.5000 0.0000 As
```

D(E_F) (states/eV per cell): 3.73
Calculated density (Mg/m³): 4.7
VASP energy (eV per atom): -4.00
Formation energy from raw total energies (eV per atom): 0.683


3.
The following is a DFT calculation (PBE) of crystalline Ba2SbPb at its relaxed geometry.

```
Ba2SbPb
1.0
4.5381 0.0000 0.0000
0.0000 5.4899 0.0000
0.0000 0.0000 12.4688
Ba Sb Pb
4 2 2
Direct
0.0000 0.0000 0.0000 Ba
0.0000 0.5000 0.2311 Ba
0.5000 0.0000 0.7311 Ba
0.5000 0.5000 0.5000 Ba
0.0000 0.0000 0.4667 Sb
0.5000 0.5000 0.9667 Sb
0.0000 0.5000 0.7838 Pb
0.5000 0.0000 0.2838 Pb
```

D(E_F) (states/eV per cell): 5.14
Calculated density (Mg/m³): 6.5
VASP energy (eV per atom): -3.58
Formation energy from raw total energies (eV per atom): -0.660


4.
The following is a DFT calculation (PBE) of crystalline Nd7Te2Pb2 at its relaxed geometry.

```
Nd7Te2Pb2
1.0
4.5913 -5.7622 0.0000
4.5913 5.7622 0.0000
0.0000 0.0000 7.2304
Nd Te Pb
7 2 2
Direct
0.0000 0.0000 0.0000 Nd
0.0000 0.5000 0.2753 Nd
0.0000 0.5000 0.7247 Nd
0.5000 0.0000 0.2753 Nd
0.5000 0.0000 0.7247 Nd
0.5000 0.5000 0.2570 Nd
0.5000 0.5000 0.7430 Nd
0.2750 0.7250 0.0000 Te
0.7250 0.2750 0.0000 Te
0.1816 0.1816 0.5000 Pb
0.8184 0.8184 0.5000 Pb
```

D(E_F) (states/eV per cell): 11.64
Calculated density (Mg/m³): 7.3
VASP energy (eV per atom): -4.76
Formation energy from raw total energies (eV per atom): -0.483


5.
The following is a DFT calculation (PBE) of crystalline NdYGaPt at its relaxed geometry.

```
NdYGaPt
1.0
4.4021 0.0000 0.0000
0.0000 3.9119 0.0000
0.0000 0.0000 11.2189
Nd Y Ga Pt
2 2 2 2
Direct
0.0000 0.0000 0.0000 Nd
0.0000 0.5000 0.5000 Nd
0.5000 0.0000 0.2849 Y
0.5000 0.5000 0.7849 Y
0.5000 0.0000 0.5752 Ga
0.5000 0.5000 0.0752 Ga
0.0000 0.0000 0.7253 Pt
0.0000 0.5000 0.2253 Pt
```

D(E_F) (states/eV per cell): 7.84
Calculated density (Mg/m³): 8.6
VASP energy (eV per atom): -5.96
E_form (eV per atom): -0.887


6.
The following is a DFT calculation (PBE) of crystalline In6HgPb8 at its relaxed geometry.

```
In6HgPb8
1.0
4.2936 2.4789 7.1004
-4.2936 2.4789 7.1004
0.0000 -4.9578 7.1004
In Hg Pb
6 1 8
Direct
0.0416 0.7391 0.5721 In
0.2609 0.4279 0.9584 In
0.4279 0.9584 0.2609 In
0.5721 0.0416 0.7391 In
0.7391 0.5721 0.0416 In
0.9584 0.2609 0.4279 In
0.5000 0.5000 0.5000 Hg
0.0987 0.2808 0.8101 Pb
0.1899 0.9013 0.7192 Pb
0.2808 0.8101 0.0987 Pb
0.3448 0.3448 0.3448 Pb
0.6552 0.6552 0.6552 Pb
0.7192 0.1899 0.9013 Pb
0.8101 0.0987 0.2808 Pb
0.9013 0.7192 0.1899 Pb
```

D(E_F) (states/eV per cell): 7.96
Calculated density (Mg/m³): 9.3
VASP energy (eV per atom): -3.04
E_form (eV per atom): 0.057


Question: What is the VASP energy in the second record?
Answer: -4.00 eV per atom


Copy entry 1 word for word.
The following is a DFT calculation (PBE) of crystalline Ba2ScTl at its relaxed geometry.

```
Ba2ScTl
1.0
4.0025 0.0000 0.0000
0.0000 4.0025 0.0000
0.0000 0.0000 10.1159
Ba Sc Tl
2 1 1
Direct
0.0000 0.0000 0.0000 Ba
0.5000 0.5000 0.3725 Ba
0.0000 0.0000 0.6355 Sc
0.5000 0.5000 0.7555 Tl
```

D(E_F) (states/eV per cell): 4.95
Calculated density (Mg/m³): 5.4
VASP energy (eV per atom): -3.19
E_form (eV per atom): -0.051


Question: calculated density of number 4 (Nd7Te2Pb2)?
Answer: 7.3 Mg/m³